1.
Below is a relaxed structure of ZrInSeN2, with properties calculated at the PBE-GGA level.

Output
space-group type	P4/mmm
final energy	-6.150	eV per atom
polymorph energy (0 for the lowest one)	0.000	eV per atom
energy relative to the elements, uncorrected	0.135	eV/atom

Unit cell a=4.171 b=4.171 c=5.679 alpha=90.00 beta=90.00 gamma=90.00
Each line ends with the local moment (μB).
Sites, in units of the cell vectors:
Zr 0.000 0.000 0.000  -0.05
N 0.500 0.000 0.000  0.26
N 0.000 0.500 0.000  0.26
Se 0.000 0.000 0.500  0.01
In 0.500 0.500 0.500  0.00

=====

2.
Below is a relaxed structure of SrTiCr3, with properties calculated at the PBE-GGA level.

Output
space-group type	Pm-3m
final energy	-5.362	eV per atom
polymorph energy (0 for the lowest one)	1.263	eV per atom
formation energy	53.67	kcal/mol of atoms

Unit cell a=4.972 b=4.972 c=4.972 alpha=90.00 beta=90.00 gamma=90.00
Each line ends with the local moment (μB).
Sites, in units of the cell vectors:
Cr 0.000 0.500 0.000  3.62
Cr 0.000 0.000 0.500  3.43
Cr 0.500 0.000 0.000  3.75
Sr 0.000 0.000 0.000  0.27
Ti 0.500 0.500 0.500  -1.50